Entry from Alexandria: Pr4SmGa after structural relaxation (GGA-PBE).

Geometry as extended XYZ:
```
6
Lattice="3.6845 0.0000 0.0000 0.0000 3.6845 0.0000 0.0000 0.0000 14.3730" Properties=species:S:1:pos:R:3 pbc="T T T"
Pr 1.8423 1.8423 2.5965
Pr 0.0000 0.0000 9.0706
Pr 0.0000 0.0000 5.3024
Pr 1.8423 1.8423 11.7765
Sm 0.0000 0.0000 0.0000
Ga 1.8423 1.8423 7.1865
```

Output
- Calculated total energy: -4.634 eV/atom
- Density: 6.67 g/cm3
- Formation energy from the elements: -0.9 eV/f.u.

Entry from Alexandria: Pr5Sm4Ga4 after structural relaxation (GGA-PBE).

Geometry as extended XYZ:
```
13
Lattice="4.9781 0.0000 1.2657 2.4891 8.5824 0.6329 0.3742 0.0000 8.9507" Properties=species:S:1:pos:R:3 pbc="T T T"
Pr 5.9814 7.9204 7.7425
Pr 1.8601 0.6620 3.1067
Pr 0.0000 0.0000 0.0000
Pr 4.8150 6.0299 1.9073
Pr 3.0264 2.5526 8.9419
Sm 5.9571 4.0427 7.8378
Sm 3.9820 2.4542 5.1837
Sm 1.8843 4.5398 3.0114
Sm 3.8595 6.1282 5.6655
Ga 4.7145 2.9583 2.3025
Ga 3.1269 5.6241 8.5467
Ga 6.7382 7.5127 4.7657
Ga 1.1032 1.0698 6.0835
```

Output
- Calculated total energy: -4.583 eV/atom
- Density: 6.96 g/cm3
- Formation energy from the elements: -4.7 eV/f.u.

Entry from Alexandria: PrSm4Ga5 after structural relaxation (GGA-PBE).

Geometry as extended XYZ:
```
10
Lattice="-2.8624 -2.2620 0.3182 1.8167 -1.9450 2.5154 -6.9262 10.6241 13.2171" Properties=species:S:1:pos:R:3 pbc="T T T"
Pr 0.0000 0.0000 0.0000
Sm -1.4062 2.1571 2.6835
Sm -2.7774 4.2603 5.3001
Sm -4.1488 6.3638 7.9170
Sm -5.5199 8.4670 10.5336
Ga -1.2504 -0.9875 2.8052
Ga -2.6157 1.1067 5.4105
Ga -3.9859 3.2086 8.0254
Ga -5.3562 5.3104 10.6402
Ga -6.7215 7.4046 13.2455
```

Output
- Calculated total energy: -4.446 eV/atom
- Density: 7.37 g/cm3
- Formation energy from the elements: -5.7 eV/f.u.

Entry from Alexandria: Pr3SmGa3 after structural relaxation (GGA-PBE).

Geometry as extended XYZ:
```
14
Lattice="-1.6816 6.2459 -6.6428 -7.9454 -0.3279 -4.7675 -5.6504 5.3925 0.0301" Properties=species:S:1:pos:R:3 pbc="T T T"
Pr -11.3192 5.6843 -6.2257
Pr -6.2986 9.1031 -6.0782
Pr -6.8902 4.4084 -2.2668
Pr -8.3872 6.9022 -9.1135
Pr -8.9788 2.2075 -5.3021
Pr -3.9581 5.6262 -5.1546
Sm -3.3269 2.1379 -3.6183
Sm -11.9504 9.1727 -7.7620
Ga -5.9046 3.0508 -4.8315
Ga -5.4236 6.7272 -7.8048
Ga -9.3582 4.0645 -7.9352
Ga -5.9191 7.2460 -3.4451
Ga -9.8538 4.5833 -3.5755
Ga -9.3727 8.2597 -6.5488
```

Output
- Calculated total energy: -4.362 eV/atom
- Density: 6.14 g/cm3
- Formation energy from the elements: -2.4 eV/f.u.

Entry from Alexandria: PrSmGa after structural relaxation (GGA-PBE).

Geometry as extended XYZ:
```
3
Lattice="3.7487 0.0000 0.0000 -1.8744 3.2465 0.0000 0.0000 0.0000 7.5558" Properties=species:S:1:pos:R:3 pbc="T T T"
Pr 0.0000 0.0000 0.3079
Ga 1.8744 1.0822 2.5462
Sm 0.0000 2.1643 4.7017
```

Output
- Calculated total energy: -4.371 eV/atom
- Density: 6.52 g/cm3
- Formation energy from the elements: -0.6 eV/f.u.

Entry from Alexandria: PrSmGa3 after structural relaxation (GGA-PBE).

Geometry as extended XYZ:
```
10
Lattice="-3.6566 0.2840 -2.1451 0.7125 -3.9432 -1.7366 -6.6545 -3.5714 10.8704" Properties=species:S:1:pos:R:3 pbc="T T T"
Pr -1.8310 -0.7359 0.9197
Pr -7.7677 -6.4948 6.0690
Sm -4.2973 -5.1916 4.5338
Sm -5.3013 -2.0390 2.4548
Ga -5.7097 -4.1495 7.0793
Ga -3.8889 -3.0812 -0.0907
Ga -6.9121 -5.2077 8.9889
Ga -2.6865 -2.0229 -2.0002
Ga -6.8411 -3.3941 4.9000
Ga -2.7576 -3.8365 2.0887
```

Output
- Calculated total energy: -4.375 eV/atom
- Density: 6.86 g/cm3
- Formation energy from the elements: -3.3 eV/f.u.

Entry from Alexandria: Pr3SmGa after structural relaxation (GGA-PBE).

Geometry as extended XYZ:
```
10
Lattice="3.8076 0.0005 -0.0006 1.9037 6.4819 0.4427 -0.0033 -0.3091 12.9083" Properties=species:S:1:pos:R:3 pbc="T T T"
Pr 1.9005 4.6189 6.1889
Pr 1.9009 1.7291 0.4924
Pr 1.9042 5.9067 2.9416
Pr 3.8076 1.5543 7.1615
Pr 3.8039 0.2666 10.4088
Pr 3.8072 4.4442 12.8579
Sm 1.9031 3.3962 9.7995
Sm 3.8050 2.7770 3.5509
Ga 3.8057 5.5566 8.5797
Ga 1.9024 0.6166 4.7706
```

Output
- Calculated total energy: -4.608 eV/atom
- Density: 6.69 g/cm3
- Formation energy from the elements: -1.0 eV/f.u.

Entry from Alexandria: PrSmGa after structural relaxation (GGA-PBE).

Geometry as extended XYZ:
```
9
Lattice="4.5269 0.0000 0.0000 0.0000 7.0165 -4.0511 0.0000 0.0001 8.1020" Properties=species:S:1:pos:R:3 pbc="T T T"
Pr 2.2634 2.8307 1.6343
Pr 2.2634 0.0001 4.8334
Pr 2.2634 4.1857 -2.4167
Sm 0.0000 5.1367 2.9657
Sm 0.0000 7.0165 -1.8804
Sm 0.0000 1.8798 -1.0854
Ga 0.0000 2.3389 4.0510
Ga 0.0000 4.6777 0.0000
Ga 2.2634 0.0000 0.0000
```

Output
- Calculated total energy: -4.572 eV/atom
- Density: 6.99 g/cm3
- Formation energy from the elements: -1.2 eV/f.u.

Entry from Alexandria: Pr3Sm4Ga after structural relaxation (GGA-PBE).

Geometry as extended XYZ:
```
8
Lattice="3.6541 0.0000 0.0000 0.0000 3.6541 0.0000 0.0000 0.0000 19.4549" Properties=species:S:1:pos:R:3 pbc="T T T"
Pr 1.8270 1.8270 4.4883
Pr 1.8270 1.8270 9.7275
Pr 1.8270 1.8270 14.9666
Ga 1.8270 1.8270 0.0000
Sm 0.0000 0.0000 17.6286
Sm 0.0000 0.0000 1.8263
Sm 0.0000 0.0000 7.1016
Sm 0.0000 0.0000 12.3533
```

Output
- Calculated total energy: -4.653 eV/atom
- Density: 6.99 g/cm3
- Formation energy from the elements: -1.0 eV/f.u.

Entry from Alexandria: PrSm6Ga3 after structural relaxation (GGA-PBE).

Geometry as extended XYZ:
```
20
Lattice="8.3435 0.0000 0.0000 0.0000 8.4597 0.4807 0.0000 -1.4192 8.3537" Properties=species:S:1:pos:R:3 pbc="T T T"
Pr 0.0854 1.8292 5.7649
Pr 4.2571 5.2114 3.0695
Sm 1.3432 5.3627 5.4659
Sm 5.5149 4.1314 6.4472
Sm 2.5515 3.5037 8.0717
Sm 6.7232 7.0864 5.2166
Sm 1.6700 -1.1004 8.0996
Sm 4.6202 0.8836 6.5185
Sm 0.4485 6.1569 2.3159
Sm 5.8418 8.1410 0.7348
Sm 2.5515 -0.0458 3.6178
Sm 6.7232 3.5368 0.7627
Sm 1.3432 2.9092 2.3872
Sm 5.5149 1.6778 3.3685
Ga 3.8779 6.5378 6.4445
Ga 8.0496 4.8231 7.8111
Ga 2.9877 2.8406 4.9589
Ga 7.1594 4.1999 3.8755
Ga 8.0496 0.5027 2.3899
Ga 3.8779 2.2174 1.0234
```

Output
- Calculated total energy: -4.511 eV/atom
- Density: 6.99 g/cm3
- Formation energy from the elements: -2.9 eV/f.u.

Entry from Alexandria: Pr5SmGa6 after structural relaxation (GGA-PBE).

Geometry as extended XYZ:
```
12
Lattice="4.9795 -0.0297 1.6574 0.0400 7.4263 0.0133 -0.0056 -0.0149 8.3074" Properties=species:S:1:pos:R:3 pbc="T T T"
Pr 3.3439 3.6834 6.6268
Pr 1.6598 -0.0149 3.3156
Pr 0.0200 3.7131 0.0067
Pr 3.3141 -0.0297 6.6493
Pr 1.6700 3.6983 3.3513
Sm 0.0000 0.0000 0.0000
Ga 4.1872 5.5646 4.1321
Ga 4.1669 1.8023 4.1253
Ga 2.4941 1.8077 9.1394
Ga 2.5198 5.5741 0.8387
Ga 0.8470 5.5794 5.8529
Ga 0.8266 1.8172 5.8461
```

Output
- Calculated total energy: -4.445 eV/atom
- Density: 6.88 g/cm3
- Formation energy from the elements: -6.6 eV/f.u.

Entry from Alexandria: Pr5SmGa6 after structural relaxation (GGA-PBE).

Geometry as extended XYZ:
```
12
Lattice="-1.6908 -3.1924 -3.8057 -5.9543 -6.7844 1.0977 -8.9091 1.5672 -0.9759" Properties=species:S:1:pos:R:3 pbc="T T T"
Pr -7.7412 -1.7122 -2.3613
Pr -4.9341 -1.7561 0.0458
Pr -3.8226 -4.9884 -1.3540
Pr -9.9292 -3.4611 0.0760
Pr -8.8130 -6.6974 -1.3227
Sm 0.0000 0.0000 0.0000
Ga -4.6927 -2.4406 -3.1023
Ga -6.8613 -4.2683 -0.6104
Ga -1.8746 -2.4627 -0.7173
Ga -5.7706 -7.5142 -1.9907
Ga -9.6929 -4.1413 -3.0735
Ga -11.8615 -5.9691 -0.5816
```

Output
- Calculated total energy: -4.445 eV/atom
- Density: 6.89 g/cm3
- Formation energy from the elements: -6.6 eV/f.u.